Compound: HgSb2Te
Source: Alexandria via LeMat-Bulk
Functional: GGA-PBEsol
Structure: optimized geometry

Formation energy (no corrections) (eV/atom): -0.008
E_tot (eV/atom): -3.31
Energy above the most stable polymorph in this dataset (eV per atom): 0.000
Space-group type: P4mm, No. 99
Theoretical density (g cm⁻³): 8.50
N(E_F) (states/eV per atom): 0.520

The structure in extended XYZ format:
```
4
Lattice="4.2999 0.0000 0.0000 0.0000 4.3018 0.0000 0.0000 0.0000 6.0359" Properties=species:S:1:pos:R:3 pbc="T T T"
Hg 2.1500 2.1509 3.7681
Sb 0.0000 0.0000 0.7573
Sb 2.1500 2.1509 0.7523
Te 0.0000 0.0000 3.7762
```

***

Compound: Li2TeRh
Source: Alexandria via LeMat-Bulk
Functional: GGA-PBEsol
Structure: optimized geometry

Formation energy (no corrections) (eV/atom): -0.473
E_tot (eV/atom): -4.37
Space-group type: I4/mmm, No. 139
Theoretical density (g cm⁻³): 6.61
N(E_F) (states/eV per atom): 0.387

The structure in extended XYZ format:
```
4
Lattice="3.8527 0.0000 0.0000 0.0000 3.8527 0.0000 -1.9264 -1.9264 4.1391" Properties=species:S:1:pos:R:3 pbc="T T T"
Li 1.9264 0.0000 2.0696
Li 0.0000 1.9264 2.0696
Rh 0.0000 0.0000 0.0000
Te 1.9264 1.9264 0.0000
```

***

Compound: SnGeAu2
Source: Alexandria via LeMat-Bulk
Functional: GGA-PBEsol
Structure: optimized geometry

E_tot (eV/atom): -4.27
Energy above the most stable polymorph in this dataset (eV per atom): 0.000
Space-group type: I-42d, No. 122
Theoretical density (g cm⁻³): 11.37
Energy of formation from the pure elements (eV per atom): -0.01
N(E_F) (states/eV per atom): 0.323

The structure in extended XYZ format:
```
8
Lattice="4.5453 0.0000 0.0000 0.0000 4.5453 0.0000 -2.2726 -2.2726 8.2781" Properties=species:S:1:pos:R:3 pbc="T T T"
Ge 2.2726 0.0000 4.1390
Ge 2.2726 2.2726 0.0000
Au 1.3356 3.4090 2.0695
Au 3.2097 1.1363 2.0695
Au -1.1363 -0.9371 6.2086
Au 1.1363 0.9371 6.2086
Sn 0.0000 2.2726 4.1390
Sn 0.0000 0.0000 0.0000
```

***

Compound: ScMoW2
Source: Alexandria via LeMat-Bulk
Functional: GGA-PBEsol
Structure: optimized geometry

E_tot (eV/atom): -11.36
Energy above the most stable polymorph in this dataset (eV per atom): 0.000
Space-group type: P2/m, No. 10
Theoretical density (g cm⁻³): 12.97
Energy of formation from the pure elements (eV per atom): 0.14
N(E_F) (states/eV per atom): 0.833

The structure in extended XYZ format:
```
4
Lattice="-0.6117 -2.5835 -0.7006 4.3758 -1.1694 0.4916 -0.6567 -0.2529 5.2442" Properties=species:S:1:pos:R:3 pbc="T T T"
Mo 1.8820 -1.8764 -0.1045
Sc 1.8595 -0.7111 2.8679
W -0.9383 -2.0657 3.4382
W -0.3301 -0.7707 1.1054
```

***

Compound: ZnCu
Source: Alexandria via LeMat-Bulk
Functional: GGA-PBEsol
Structure: optimized geometry

E_tot (eV/atom): -3.05
Space-group type: C2/m, No. 12
Theoretical density (g cm⁻³): 8.69
Energy of formation from the pure elements (eV per atom): -0.09
N(E_F) (states/eV per atom): 0.258

The structure in extended XYZ format:
```
4
Lattice="-1.5708 -0.6216 -2.0380 2.4099 -3.5486 -0.7751 -2.7814 -0.3846 3.9801" Properties=species:S:1:pos:R:3 pbc="T T T"
Zn 0.2921 -3.3366 -0.9266
Zn -2.2344 -1.2182 2.0937
Cu -0.1696 -1.2771 0.5202
Cu -1.7727 -3.2777 0.6468
```

***

Compound: Li2AgPb
Source: Alexandria via LeMat-Bulk
Functional: GGA-PBEsol
Structure: optimized geometry

E_tot (eV/atom): -3.04
Space-group type: P4/mmm, No. 123
Theoretical density (g cm⁻³): 7.52
Energy of formation from the pure elements (eV per atom): -0.22
N(E_F) (states/eV per atom): 0.347

The structure in extended XYZ format:
```
4
Lattice="-2.8207 0.1042 1.5865 -1.5577 -0.8310 -2.7149 0.6841 -6.6916 1.6558" Properties=species:S:1:pos:R:3 pbc="T T T"
Pb -1.8472 -3.7092 0.2637
Ag -2.1892 -0.3634 -0.5642
Li 0.1490 -1.4574 0.3606
Li 0.5351 -5.2342 1.2951
```

***

Compound: ZrTlHS2
Source: Alexandria via LeMat-Bulk
Functional: GGA-PBEsol
Structure: optimized geometry

E_tot (eV/atom): -4.70
Space-group type: P4/mmm, No. 123
Theoretical density (g cm⁻³): 6.52
N(E_F) (states/eV per atom): 0.662

The structure in extended XYZ format:
```
5
Lattice="-1.8974 -2.3451 1.6957 4.1559 -1.4138 2.6949 -1.1335 3.5141 3.5915" Properties=species:S:1:pos:R:3 pbc="T T T"
H -0.9487 -1.1725 0.8479
Tl 0.0000 0.0000 0.0000
S -0.5667 1.7570 1.7958
S 2.0779 -0.7069 1.3474
Zr 0.5625 -0.1224 3.9911
```

***

Compound: La5Co
Source: Alexandria via LeMat-Bulk
Functional: GGA-PBEsol
Structure: optimized geometry

E_tot (eV/atom): -5.74
Energy above the most stable polymorph in this dataset (eV per atom): 0.000
Space-group type: C2/m, No. 12
Theoretical density (g cm⁻³): 7.04
Energy of formation from the pure elements (eV per atom): 0.01
N(E_F) (states/eV per atom): 1.183

The structure in extended XYZ format:
```
6
Lattice="-2.6388 -1.5635 2.0794 -2.0122 -0.1593 -5.9752 4.8229 -6.7147 1.0715" Properties=species:S:1:pos:R:3 pbc="T T T"
Co 0.0000 0.0000 0.0000
La -2.0008 -1.4889 -3.6586
La -0.9969 -3.2249 -0.3880
La 2.4114 -3.3573 0.5358
La 1.1687 -5.2126 -2.4363
La 2.1726 -6.9486 0.8343
```

***

Compound: Cd5In24
Source: Alexandria via LeMat-Bulk
Functional: GGA-PBEsol
Structure: optimized geometry

E_tot (eV/atom): -2.63
Space-group type: I-43m, No. 217
Theoretical density (g cm⁻³): 7.55
Energy of formation from the pure elements (eV per atom): 0.05
N(E_F) (states/eV per atom): 0.463

The structure in extended XYZ format:
```
29
Lattice="-6.6619 0.6791 7.1851 5.9458 -7.6175 1.7575 5.2892 8.2684 -0.3528" Properties=species:S:1:pos:R:3 pbc="T T T"
Cd 1.4422 0.4195 2.7089
Cd 4.0707 -5.2152 1.2033
Cd 3.6212 5.6609 -0.2415
Cd -4.5610 0.4650 4.9192
Cd 0.0000 0.0000 0.0000
In 3.9611 -0.6563 5.6195
In 0.0339 5.7547 5.8477
In 0.7494 3.3178 1.2542
In -1.5440 1.8615 2.7007
In 1.5219 0.9489 6.6696
In 7.7830 0.6553 2.5118
In 3.3147 -1.3359 0.6090
In 3.1887 1.7127 0.2041
In 3.8341 2.4172 5.2113
In 0.4375 -4.0092 7.1447
In -1.4170 -1.2121 3.1090
In 1.0025 -2.8042 2.0674
In 0.8546 3.0741 4.4499
In 3.8803 -2.7981 3.3350
In -2.4260 3.9474 4.8648
In 0.8916 6.0542 2.7723
In 4.6658 0.5660 2.8092
In -1.4162 0.6874 5.6152
In 6.1882 2.5688 0.4922
In 6.3704 -1.8411 1.0780
In 1.0530 -1.7282 5.0878
In 3.6045 3.8757 2.4485
In 1.3497 -5.0294 4.2447
In -2.1502 -2.7263 5.7514
```

***

Compound: FeRhI2O
Source: Alexandria via LeMat-Bulk
Functional: GGA-PBEsol
Structure: optimized geometry

Formation energy (no corrections) (eV/atom): 0.098
E_tot (eV/atom): -5.08
Space-group type: P4/mmm, No. 123
Theoretical density (g cm⁻³): 7.93
N(E_F) (states/eV per atom): 0.924

The structure in extended XYZ format:
```
5
Lattice="-2.4149 1.1895 2.0405 3.1009 -0.6750 4.0634 1.8386 4.7782 -0.6094" Properties=species:S:1:pos:R:3 pbc="T T T"
I 0.9193 2.3891 -0.3047
I 1.5505 -0.3375 2.0317
Rh 1.2623 2.6463 2.7473
Fe 0.0000 0.0000 0.0000
O -1.2074 0.5947 1.0203
```

***

Compound: Ag2Sn2Hg
Source: Alexandria via LeMat-Bulk
Functional: GGA-PBEsol
Structure: optimized geometry

E_tot (eV/atom): -3.05
Space-group type: P4/mbm, No. 127
Theoretical density (g cm⁻³): 9.66
Energy of formation from the pure elements (eV per atom): 0.09
N(E_F) (states/eV per atom): 0.375

The structure in extended XYZ format:
```
10
Lattice="-2.4413 -1.3449 -1.1379 0.1437 -5.7309 6.4654 -5.0544 5.1885 4.7114" Properties=species:S:1:pos:R:3 pbc="T T T"
Hg 0.0000 0.0000 0.0000
Hg -2.4553 -0.2712 5.5884
Ag -4.5110 1.8375 3.5238
Ag -5.3953 -0.0464 7.6478
Ag -2.8409 -3.7248 6.5151
Ag -1.9566 -1.8409 2.3912
Sn -4.2870 2.3999 6.3611
Sn -3.1196 -1.5901 8.5727
Sn -0.6236 -2.9422 4.8157
Sn -1.7910 1.0477 2.6041
```

***

Compound: DyCu3Te3
Source: Alexandria via LeMat-Bulk
Functional: GGA-PBEsol
Structure: optimized geometry

Formation energy (no corrections) (eV/atom): -0.484
E_tot (eV/atom): -4.56
Space-group type: R-3, No. 148
Theoretical density (g cm⁻³): 7.72

The structure in extended XYZ format:
```
14
Lattice="7.2974 0.0000 0.0000 3.6487 6.3197 0.0000 3.6487 2.1066 6.8625" Properties=species:S:1:pos:R:3 pbc="T T T"
Dy 10.9461 6.3197 3.3605
Dy 3.6487 2.1066 3.5021
Cu 4.6460 4.3343 0.8430
Cu 8.7280 6.4487 0.8430
Cu 8.5181 1.8564 0.8430
Cu 6.0766 6.5699 6.0196
Cu 5.8667 1.9776 6.0196
Cu 9.9487 4.0920 6.0196
Te 5.0348 4.2603 5.1126
Te 8.3878 2.2301 5.1126
Te 8.4695 6.1490 5.1126
Te 6.1252 2.2772 1.7500
Te 6.2069 6.1962 1.7500
Te 9.5600 4.1659 1.7500
```